Below is an optimized crystal structure of TbAsN2O, with properties calculated at the PBE level.

Lattice parameters (Å, degrees): 5.434 5.434 5.434 87.99 120.64 121.70
Fractional positions:
Tb 0.017 0.250 0.267
Tb 0.983 0.750 0.733
As 0.502 0.002 0.500
As 0.502 0.502 0.000
N 0.003 0.199 0.699
N 0.003 0.803 0.304
N 0.499 0.303 0.301
N 0.499 0.699 0.696
O 0.417 0.757 0.161
O 0.596 0.257 0.839

Results
* symmetry: Ima2 (46)
* crystal system: orthorhombic


Below is an optimized crystal structure of TbAsN2O, with properties calculated at the PBE level.

Lattice parameters (Å, degrees): 7.868 7.362 11.086 90.00 134.64 90.00
Fractional positions:
Tb 0.052 0.250 0.023
Tb 0.052 0.250 0.523
Tb 0.445 0.731 0.466
Tb 0.445 0.769 0.966
Tb 0.555 0.231 0.034
Tb 0.555 0.269 0.534
Tb 0.948 0.750 0.477
Tb 0.948 0.750 0.977
As 0.037 0.001 0.256
As 0.037 0.499 0.756
As 0.480 0.505 0.217
As 0.480 0.995 0.717
As 0.520 0.005 0.283
As 0.520 0.495 0.783
As 0.963 0.501 0.244
As 0.963 0.999 0.744
N 0.041 0.746 0.818
N 0.041 0.754 0.318
N 0.213 0.549 0.704
N 0.213 0.951 0.204
N 0.288 0.058 0.490
N 0.288 0.442 0.990
N 0.460 0.242 0.778
N 0.460 0.258 0.278
N 0.540 0.742 0.722
N 0.540 0.758 0.222
N 0.712 0.558 0.010
N 0.712 0.942 0.510
N 0.787 0.049 0.796
N 0.787 0.451 0.296
N 0.959 0.246 0.682
N 0.959 0.254 0.182
O 0.228 0.549 0.201
O 0.228 0.951 0.701
O 0.268 0.042 0.974
O 0.268 0.458 0.474
O 0.732 0.542 0.526
O 0.732 0.958 0.026
O 0.772 0.049 0.299
O 0.772 0.451 0.799

Results
* symmetry: P2_1/c (14)
* crystal system: monoclinic


Below is an optimized crystal structure of TbAsN2O, with properties calculated at the PBE level.

Lattice parameters (Å, degrees): 3.409 6.128 5.727 90.00 90.00 90.00
Fractional positions:
Tb 0.000 0.152 0.000
Tb 0.000 0.848 0.500
As 0.500 0.336 0.537
As 0.500 0.664 0.037
N 0.000 0.216 0.596
N 0.000 0.784 0.096
N 0.500 0.412 0.882
N 0.500 0.588 0.382
O 0.500 0.103 0.289
O 0.500 0.897 0.789

Results
* symmetry: Pmc2_1 (26)
* crystal system: orthorhombic


Calculated total moment, 0.00; 0.00; 0.00 μB per atom (same order as the records).
Calculated uncorrected energy, -69.47; -281.67; -70.89 eV for the cell shown (same order as the records).